# 1
# Li5Mg2Ag5, optimized geometry, DFT PBE-GGA
data_Li5Mg2Ag5
_chemical_formula_sum 'Li10 Mg4 Ag10'
_cell_length_a 12.737
_cell_length_b 3.995
_cell_length_c 9.207
_cell_angle_alpha 90.00
_cell_angle_beta 118.08
_cell_angle_gamma 90.00
_symmetry_space_group_name_H-M 'C 1 2/m 1'
_symmetry_Int_Tables_number 12
_symmetry_space_group_name_Hall '-C 2y'
loop_
_atom_site_label
_atom_site_type_symbol
_atom_site_fract_x
_atom_site_fract_y
_atom_site_fract_z
_atom_site_occupancy
Li1 Li 0.000 0.000 0.000 1
Li2 Li 0.085 0.000 0.764 1
Li3 Li 0.247 0.000 0.231 1
Mg1 Mg 0.159 0.000 0.500 1
Ag1 Ag 0.000 0.500 0.500 1
Ag2 Ag 0.088 0.500 0.252 1
Ag3 Ag 0.165 0.500 0.000 1
# DFT formation energy (eV per atom): -0.193
# D(E_F) (states/eV/cell): 8.9
# M_tot (μB/f.u.): 0.000

# 2
# Li3MgAg6, optimized geometry, DFT PBE-GGA
data_Li3MgAg6
_chemical_formula_sum 'Li6 Mg2 Ag12'
_cell_length_a 8.078
_cell_length_b 4.454
_cell_length_c 9.577
_cell_angle_alpha 90.00
_cell_angle_beta 102.29
_cell_angle_gamma 90.00
_symmetry_space_group_name_H-M 'P 1 21/m 1'
_symmetry_Int_Tables_number 11
_symmetry_space_group_name_Hall '-P 2yb'
loop_
_atom_site_label
_atom_site_type_symbol
_atom_site_fract_x
_atom_site_fract_y
_atom_site_fract_z
_atom_site_occupancy
Li1 Li 0.045 0.250 0.395 1
Li2 Li 0.149 0.750 0.190 1
Li3 Li 0.252 0.250 0.985 1
Mg1 Mg 0.443 0.250 0.606 1
Ag1 Ag 0.041 0.750 0.901 1
Ag2 Ag 0.127 0.250 0.690 1
Ag3 Ag 0.236 0.750 0.480 1
Ag4 Ag 0.333 0.250 0.291 1
Ag5 Ag 0.345 0.750 0.790 1
Ag6 Ag 0.439 0.750 0.093 1
# DFT formation energy (eV per atom): -0.183
# D(E_F) (states/eV/cell): 5.9
# Relative energy among the computed polymorphs (eV/atom): 0.000
# M_tot (μB/f.u.): 0.000

# 3
# LiMg2Ag, optimized geometry, DFT PBE-GGA
data_LiMg2Ag
_chemical_formula_sum 'Li3 Mg6 Ag3'
_cell_length_a 3.0628
_cell_length_b 3.0628
_cell_length_c 29.4652
_cell_angle_alpha 90.00
_cell_angle_beta 90.00
_cell_angle_gamma 120.00
_symmetry_space_group_name_H-M 'R -3 m'
_symmetry_Int_Tables_number 166
_symmetry_space_group_name_Hall '-R 3 2"'
loop_
_atom_site_label
_atom_site_type_symbol
_atom_site_fract_x
_atom_site_fract_y
_atom_site_fract_z
_atom_site_occupancy
Li1 Li 0.0000 0.0000 0.0000 1
Mg1 Mg 0.0000 0.0000 0.2467 1
Ag1 Ag 0.0000 0.0000 0.5000 1
# DFT formation energy (eV per atom): -0.086
# D(E_F) (states/eV/cell): 3.6
# Relative energy among the computed polymorphs (eV/atom): 0.125
# M_tot (μB/f.u.): 0.000

# 4
# LiMg6Ag, optimized geometry, DFT PBE-GGA
data_LiMg6Ag
_chemical_formula_sum 'Li2 Mg12 Ag2'
_cell_length_a 4.771
_cell_length_b 4.771
_cell_length_c 14.469
_cell_angle_alpha 90.00
_cell_angle_beta 90.00
_cell_angle_gamma 90.00
_symmetry_space_group_name_H-M 'I 4/m m m'
_symmetry_Int_Tables_number 139
_symmetry_space_group_name_Hall '-I 4 2'
loop_
_atom_site_label
_atom_site_type_symbol
_atom_site_fract_x
_atom_site_fract_y
_atom_site_fract_z
_atom_site_occupancy
Li1 Li 0.000 0.000 0.000 1
Mg1 Mg 0.000 0.000 0.250 1
Mg2 Mg 0.000 0.500 0.112 1
Ag1 Ag 0.000 0.000 0.500 1
# DFT formation energy (eV per atom): -0.096
# D(E_F) (states/eV/cell): 3.6
# Relative energy among the computed polymorphs (eV/atom): 0.000
# M_tot (μB/f.u.): 0.000